# 1
First-principles (PBE) data for RbTiSn2 after structural relaxation, as listed in the Alexandria database.

Properties
ΔH_f (0 K), meV per atom: 212
Calculated volume, Å³ per atom: 43.2
SG: I-42d (122)
Relative energy among the computed polymorphs, meV/atom: 305

a = 6.263 Å, b = 6.263 Å, c = 9.861 Å
α = 71.48°, β = 71.48°, γ = 90.00°
Fractional positions:
Rb 0.750 0.250 0.500
Rb 0.000 0.000 0.000
Ti 0.250 0.750 0.500
Ti 0.500 0.500 0.000
Sn 0.375 0.631 0.750
Sn 0.381 0.625 0.250
Sn 0.369 0.125 0.250
Sn 0.875 0.619 0.750


# 2
First-principles (PBE) data for CsNpRhS4 after structural relaxation, as listed in the Alexandria database.

Properties
Raw formation energy, eV per atom: -0.82
Calculated volume, Å³ per atom: 25.0
SG: P2_1/m (11)

a = 6.462 Å, b = 6.008 Å, c = 9.416 Å
α = 90.00°, β = 106.49°, γ = 90.00°
Fractional positions:
S 0.032 0.984 0.685
S 0.968 0.016 0.315
S 0.533 0.250 0.406
S 0.467 0.750 0.594
S 0.032 0.516 0.685
S 0.544 0.250 0.789
S 0.456 0.750 0.211
S 0.968 0.484 0.315
Rh 0.230 0.750 0.367
Rh 0.770 0.250 0.633
Cs 0.759 0.750 0.955
Cs 0.241 0.250 0.045
Np 0.754 0.750 0.453
Np 0.246 0.250 0.547


# 3
First-principles (PBE) data for Ba2LaSc after structural relaxation, as listed in the Alexandria database.

Properties
ΔH_f (0 K), meV per atom: 241
Calculated volume, Å³ per atom: 42.1
SG: R3m (160)
Relative energy among the computed polymorphs, meV/atom: 74

a = 12.949 Å, b = 12.949 Å, c = 12.949 Å
α = 17.35°, β = 17.35°, γ = 17.35°
Fractional positions:
Sc 0.755 0.755 0.755
Ba 0.245 0.245 0.245
Ba 0.011 0.011 0.011
La 0.489 0.489 0.489


# 4
First-principles (PBE) data for Th2CoTe6 after structural relaxation, as listed in the Alexandria database.

Properties
Raw formation energy, eV per atom: -0.52
Calculated volume, Å³ per atom: 35.2
SG: P4_2/mnm (136)

a = 6.840 Å, b = 6.840 Å, c = 13.531 Å
α = 90.00°, β = 90.00°, γ = 90.00°
Fractional positions:
Te 0.228 0.772 0.000
Te 0.319 0.319 0.857
Te 0.772 0.228 0.000
Te 0.819 0.181 0.357
Te 0.728 0.728 0.500
Te 0.181 0.819 0.357
Te 0.272 0.272 0.500
Te 0.319 0.319 0.143
Te 0.181 0.819 0.643
Te 0.681 0.681 0.857
Te 0.681 0.681 0.143
Te 0.819 0.181 0.643
Th 0.000 0.000 0.835
Th 0.000 0.000 0.165
Th 0.500 0.500 0.665
Th 0.500 0.500 0.335
Co 0.500 0.500 0.000
Co 0.000 0.000 0.500